8
Lattice="4.0702 0.0000 0.0000 0.0000 4.0744 0.0000 -0.0578 0.0000 10.0372" Properties=species:S:1:pos:R:3 comment="PrCdCu2 (GGA-PBE, relaxed)" formation_energy_ev_per_atom=-0.1835 space_group="P2_1/m, No. 11" magmom_total_mub_per_cell=0.000 pbc="T T T"
Pr 0.9827 1.0186 2.6811
Pr 3.0297 3.0558 7.3561
Cd 0.9834 1.0186 9.2840
Cd 3.0289 3.0558 0.7531
Cu 0.9782 3.0558 5.0198
Cu 0.9991 1.0186 6.4876
Cu 3.0132 3.0558 3.5495
Cu 3.0342 1.0186 5.0174



5
Lattice="4.5562 0.0000 0.0000 0.0000 4.5562 0.0000 0.0000 0.0000 4.1149" Properties=species:S:1:pos:R:3 comment="BaInNF2 (GGA-PBE, relaxed)" raw_formation_energy_mev_per_atom=-1758 de_polymorph_mev_per_atom=0 space_group="P4/mmm, No. 123" magmom_total_mub_per_cell=0.000 pbc="T T T"
Ba 0.0000 0.0000 0.0000
In 2.2781 2.2781 2.0575
N 2.2781 2.2781 0.0000
F 0.0000 2.2781 2.0575
F 2.2781 0.0000 2.0575



4
Lattice="4.0058 0.0000 0.0000 0.0000 4.0058 0.0000 0.0000 0.0000 8.7823" Properties=species:S:1:pos:R:3 comment="CdTe2Se (GGA-PBE, relaxed)" raw_formation_energy_mev_per_atom=-43 space_group="P4mm, No. 99" magmom_total_mub_per_cell=0.000 pbc="T T T"
Cd 0.0000 0.0000 0.0000
Te 0.0000 0.0000 3.1986
Te 2.0029 2.0029 4.0937
Se 2.0029 2.0029 8.4541



11
Lattice="6.5660 -3.6168 0.0000 6.5660 3.6168 0.0000 -3.8931 0.0000 7.3885" Properties=species:S:1:pos:R:3 comment="Cs2NaCu2Cl6 (GGA-PBE, relaxed)" raw_formation_energy_mev_per_atom=-1295 space_group="C2/m, No. 12" magmom_total_mub_per_cell=1.029 pbc="T T T"
Cs 2.0047 0.0000 1.4360
Cs 7.2341 0.0000 5.9525
Na -1.9466 0.0000 3.6943
Cu 2.8185 0.0000 5.4701
Cu 6.4203 0.0000 1.9184
Cl 5.1778 1.8005 1.6000
Cl 0.7333 0.0000 4.8160
Cl 4.0610 1.8005 5.7885
Cl 5.1778 -1.8005 1.6000
Cl 8.5056 0.0000 2.5725
Cl 4.0610 -1.8005 5.7885